First-principles (PBE) data for a relaxed structure of AlTc2Ru, as listed in Alexandria via LeMat-Bulk.

Cell lengths 2.9233, 4.5908, 8.6314 Å; angles 90.00, 90.00, 90.00 degrees
Space group Cmm2 (No. 35)
One atom of each set of equivalent atoms:
Al  0.0000  0.0000  0.0000 [2 per cell]
Tc  0.0000  0.0000  0.4962 [2 per cell]
Tc  0.0000  0.5000  0.7481 [2 per cell]
Ru  0.0000  0.5000  0.2378 [2 per cell]

## Properties
Excess energy over the best structure of this formula in the dataset   284 meV per atom
N(E_F)   6.452 states/eV/cell
Theoretical density   9.3 g cm⁻³
Energy of formation from the pure elements   0.0352 eV/atom